SiMoAu2Br after structural relaxation. Source: Alexandria via LeMat-Bulk, functional GGA-PBE.

For the uncorrected formation energy, the calculation gives 501 kJ/mol of formula units.

It has space group P4/mmm (No. 123), with a = 5.101 Å, b = 5.101 Å, c = 4.866 Å, α = 90.00°, β = 90.00° and γ = 90.00°. The distinct sites, in fractional coordinates, are Si at (0.000, 0.000, 0.000), Mo at (0.000, 0.000, 0.500), Au at (0.000, 0.500, 0.500) and Br at (0.500, 0.500, 0.000).

Pm5YPb6 after structural relaxation. Source: Alexandria via LeMat-Bulk, functional GGA-PBE.

For the energy above the most stable polymorph in this dataset, the calculation gives 0.0 meV/atom. Its formation energy is -5.96 eV per formula unit.

It has space group C2/m (No. 12), with a = 16.137 Å, b = 9.138 Å, c = 5.033 Å, α = 90.00°, β = 107.99° and γ = 90.00°. The distinct sites, in fractional coordinates, are Pm at (0.000, 0.000, 0.000), Pm at (0.166, 0.000, 0.666), Pm at (0.166, 0.500, 0.666), Y at (0.000, 0.500, 0.000), Pb at (0.000, 0.252, 0.500) and Pb at (0.166, 0.251, 0.166).

CrMoIr6 after structural relaxation. Source: Alexandria via LeMat-Bulk, functional GGA-PBE.

Its formation energy is -2.04 eV per formula unit.

It has space group P4/mmm (No. 123), with a = 5.461 Å, b = 5.461 Å, c = 3.863 Å, α = 90.00°, β = 90.00° and γ = 90.00°. The distinct sites, in fractional coordinates, are Cr at (0.000, 0.000, 0.000), Mo at (0.500, 0.500, 0.000), Ir at (0.000, 0.500, 0.000) and Ir at (0.249, 0.249, 0.500).

RbPdS after structural relaxation. Source: Alexandria via LeMat-Bulk, functional GGA-PBE.

For the uncorrected formation energy, the calculation gives -117 kJ/mol of formula units.

It has space group I4mm (No. 107), with a = 3.552 Å, b = 3.552 Å, c = 11.657 Å, α = 90.00°, β = 90.00° and γ = 90.00°. The distinct sites, in fractional coordinates, are Rb at (0.000, 0.000, 0.000), Pd at (0.000, 0.000, 0.264) and S at (0.000, 0.000, 0.728).